1.
Re3PdRh | PBE | optimized geometry

Cell lengths 4.629, 4.629, 4.629 Å; angles 90.00, 90.00, 90.00 degrees
Space group Pm-3m (No. 221)
Unique sites:
Re (0.000, 0.000, 0.500) [3 per cell]
Pd (0.500, 0.500, 0.500) [1 per cell]
Rh (0.000, 0.000, 0.000) [1 per cell]

## Properties
Polymorph energy (0 for the lowest one) (meV per atom): 0
Calculated total energy (eV/atom): -7.6991


2.
CaPuSc2O8 | PBE | optimized geometry

Cell lengths 6.945, 6.946, 6.773 Å; angles 90.00, 90.00, 90.00 degrees
Space group Cmmm (No. 65)
Unique sites:
Ca (0.000, 0.000, 0.000) [2 per cell]
Pu (0.000, 0.000, 0.500) [2 per cell]
Sc (0.000, 0.500, 0.237) [4 per cell]
O (0.000, 0.194, 0.285) [8 per cell]
O (0.176, 0.500, 0.000) [4 per cell]
O (0.210, 0.500, 0.500) [4 per cell]

## Properties
Calculated total energy (eV/atom): -8.4706
Formation energy without anion corrections (eV/f.u.): -32.98